Entry 1:
# Nd4AlZn2Au

Nd4AlZn2Au after structural relaxation (PBE, Alexandria via LeMat-Bulk).

Cell: 5.2334 5.2334 25.7960 Å, 90.00 90.00 120.00°
Space group R-3m (No. 166, hexagonal axes)
Unique sites:
Nd1 0.0000 0.0000 0.1240 [6 per cell]
Nd2 0.0000 0.0000 0.3746 [6 per cell]
Al1 0.0000 0.0000 0.5000 [3 per cell]
Zn1 0.0000 0.0000 0.2455 [6 per cell]
Au1 0.0000 0.0000 0.0000 [3 per cell]

Summary:
ρ   7.59 g/cm3
Energy   -4.007 eV per atom
Total magnetization   0.00 μB/f.u.

=====

Entry 2:
# KTbHg2

KTbHg2 after structural relaxation (PBE, Alexandria via LeMat-Bulk).

Cell: 4.0609 4.0609 28.0589 Å, 90.00 90.00 120.00°
Space group R-3m (No. 166, hexagonal axes)
Unique sites:
K1 0.0000 0.0000 0.0000 [3 per cell]
Tb1 0.0000 0.0000 0.5000 [3 per cell]
Hg1 0.0000 0.0000 0.2378 [6 per cell]

Summary:
ρ   7.45 g/cm3
Energy   -1.757 eV per atom
Total magnetization   0.00 μB/f.u.

=====

Entry 3:
# CsCaAuSe2

CsCaAuSe2 after structural relaxation (PBE, Alexandria via LeMat-Bulk).

Cell: 7.580 16.038 5.813 Å, 90.00 90.00 90.00°
Space group Cmme (No. 67)
Unique sites:
Cs1 0.000 0.250 0.219 [4 per cell]
Ca1 0.250 0.000 0.500 [4 per cell]
Au1 0.000 0.000 0.000 [4 per cell]
Se1 0.000 0.113 0.714 [8 per cell]

Summary:
Formation energy from raw total energies   -1.21 eV/atom
ρ   4.96 g/cm3
Energy   -3.828 eV per atom
Total magnetization   0.00 μB/f.u.

=====

Entry 4:
# CrMo2N

CrMo2N after structural relaxation (PBE, Alexandria via LeMat-Bulk).

Cell: 2.7828 2.7828 23.2801 Å, 90.00 90.00 120.00°
Space group R-3m (No. 166, hexagonal axes)
Unique sites:
Cr1 0.0000 0.0000 0.0000 [3 per cell]
Mo1 0.0000 0.0000 0.1041 [6 per cell]
N1 0.0000 0.0000 0.5000 [3 per cell]

Summary:
Formation energy from raw total energies   0.45 eV/atom
ρ   8.23 g/cm3
Energy   -9.453 eV per atom
Total magnetization   1.38 μB/f.u.

=====

Entry 5:
# TlSeBr4

TlSeBr4 after structural relaxation (PBE, Alexandria via LeMat-Bulk).

Cell: 6.645 10.537 7.910 Å, 90.00 99.66 90.00°
Space group P2_1/m (No. 11)
Unique sites:
Tl1 0.116 0.250 0.168 [2 per cell]
Se1 0.318 0.750 0.377 [2 per cell]
Br1 0.115 0.575 0.143 [4 per cell]
Br2 0.341 0.750 0.705 [2 per cell]
Br3 0.345 0.250 0.682 [2 per cell]

Summary:
Formation energy from raw total energies   -0.25 eV/atom
ρ   3.67 g/cm3
Energy   -2.344 eV per atom
Total magnetization   0.00 μB/f.u.

=====

Entry 6:
# MgNpAlIn

MgNpAlIn after structural relaxation (PBE, Alexandria via LeMat-Bulk).

Cell: 7.160 7.160 7.160 Å, 90.00 90.00 90.00°
Space group F-43m (No. 216)
Unique sites:
Mg1 0.000 0.000 0.000 [4 per cell]
Np1 0.000 0.000 0.500 [4 per cell]
Al1 0.250 0.250 0.250 [4 per cell]
In1 0.250 0.250 0.750 [4 per cell]

Summary:
ρ   7.29 g/cm3
Energy   -5.127 eV per atom
Total magnetization   4.38 μB/f.u.

=====

Entry 7:
# Be2InPt

Be2InPt after structural relaxation (PBE, Alexandria via LeMat-Bulk).

Cell: 2.9011 2.9011 24.1437 Å, 90.00 90.00 120.00°
Space group R3m (No. 160, hexagonal axes)
Unique sites:
Be1 0.0000 0.0000 0.0000 [3 per cell]
Be2 0.0000 0.0000 0.2634 [3 per cell]
In1 0.0000 0.0000 0.7570 [3 per cell]
Pt1 0.0000 0.0000 0.5272 [3 per cell]

Summary:
ρ   9.28 g/cm3
Energy   -3.854 eV per atom
Total magnetization   0.00 μB/f.u.

=====

Entry 8:
# KZrPb

KZrPb after structural relaxation (PBE, Alexandria via LeMat-Bulk).

Cell: 3.322 4.615 13.468 Å, 90.00 90.00 90.00°
Space group Imm2 (No. 44)
Unique sites:
K1 0.000 0.000 0.000 [2 per cell]
Zr1 0.000 0.000 0.279 [2 per cell]
Pb1 0.000 0.000 0.702 [2 per cell]

Summary:
ρ   5.43 g/cm3
Energy   -4.166 eV per atom
Total magnetization   0.80 μB/f.u.